36
Lattice="6.915 0.000 0.000 0.000 7.526 -0.004 0.000 0.798 9.677" Properties=species:S:1:pos:R:3 comment="PBEsol BaP2O6, optimized geometry" raw_formation_energy_ev_per_atom=-2.536 total_energy_ev_per_atom=-7.561 pbc="T T T"
Ba 6.240 1.228 1.712
Ba 4.132 5.390 6.548
Ba 2.783 2.934 3.125
Ba 0.675 7.096 7.961
P 6.167 4.919 3.258
P 5.498 1.434 5.589
P 2.709 6.769 1.574
P 1.417 6.890 4.083
P 2.041 3.525 8.924
P 4.874 4.799 0.749
P 4.206 1.554 8.099
P 0.748 3.405 6.415
O 5.384 5.836 9.045
O 6.714 4.541 6.617
O 3.480 2.837 8.723
O 0.022 2.122 5.790
O 5.812 5.600 1.799
O 4.560 2.235 6.639
O 6.892 6.201 3.883
O 1.256 0.771 3.586
O 1.927 6.650 5.464
O 1.102 2.724 7.874
O 1.531 2.488 0.628
O 1.423 6.970 0.828
O 4.988 1.674 4.209
O 5.658 7.553 6.086
O 3.256 7.944 7.892
O 2.034 3.606 5.668
O 4.880 4.718 4.005
O 2.355 6.088 3.033
O 3.659 0.380 1.780
O 3.435 5.487 0.949
O 5.492 1.353 8.845
O 4.714 3.391 1.250
O 0.201 3.782 3.056
O 2.201 4.933 8.423

5
Lattice="-3.429 -0.887 -2.288 -2.323 -2.429 4.422 -2.248 4.856 1.487" Properties=species:S:1:pos:R:3 comment="PBEsol BaP2PdO, optimized geometry" raw_formation_energy_ev_per_atom=1.257 total_energy_ev_per_atom=-3.731 pbc="T T T"
O -1.714 -0.443 -1.144
P -1.124 2.428 0.743
P -1.161 -1.215 2.211
Ba 0.000 0.000 0.000
Pd -4.000 0.770 1.810

28
Lattice="-4.766 -2.768 1.518 -0.530 -3.020 -7.171 5.508 -7.885 2.913" Properties=species:S:1:pos:R:3 comment="PBEsol RbBaPO4, optimized geometry" raw_formation_energy_ev_per_atom=-2.664 total_energy_ev_per_atom=-6.944 pbc="T T T"
Ba 2.985 -8.581 -0.895
Ba -2.411 -7.500 -5.100
Ba -2.773 -5.092 -1.846
Ba 2.623 -6.173 2.359
O -3.659 -4.982 -4.426
O 1.532 -7.233 -2.997
O 3.870 -8.691 1.685
O -1.321 -6.440 0.256
O 1.195 -10.916 -0.008
O 0.594 -6.904 -5.344
O -0.984 -2.757 -2.733
O -0.382 -6.769 2.604
O 1.711 -10.509 -2.455
O -0.740 -6.140 -3.330
O 0.630 -1.927 -0.964
O -1.178 -8.769 1.267
O -1.499 -3.164 -0.286
O 0.951 -7.533 0.589
O -0.418 -11.746 -1.777
O 1.389 -4.904 -4.008
P 1.082 -11.509 -1.443
P 0.692 -6.291 -3.916
P -0.871 -2.164 -1.298
P -0.481 -7.382 1.176
Rb -1.161 -3.923 -5.417
Rb -0.691 -8.685 -1.861
Rb 1.373 -9.750 2.676
Rb 0.903 -4.988 -0.880

41
Lattice="-5.209 -0.558 5.580 -0.922 -10.019 -1.862 6.904 3.330 6.778" Properties=species:S:1:pos:R:3 comment="PBEsol Ba10P6SO24, optimized geometry" raw_formation_energy_ev_per_atom=-2.861 total_energy_ev_per_atom=-7.412 pbc="T T T"
Ba 3.857 2.215 6.556
Ba 4.753 -4.296 6.742
Ba 0.206 -1.715 2.755
Ba -3.980 -2.952 3.754
Ba -3.084 -9.463 3.939
Ba 0.567 -5.532 7.741
Ba 1.585 -1.410 6.801
Ba -0.812 -5.837 3.695
Ba 4.192 -1.131 4.009
Ba -3.419 -6.116 6.486
P 2.273 -4.465 4.280
P -1.448 -4.036 0.849
P 0.415 1.375 8.419
P 0.358 -8.622 2.077
P 2.221 -3.211 9.647
P -1.500 -2.782 6.215
S -2.605 -0.279 2.790
O 2.731 -3.167 5.002
O -1.098 -8.354 2.551
O 1.457 -5.383 5.233
O -1.865 -3.675 2.302
O 1.871 1.107 7.945
O -0.684 -1.864 5.262
O 2.638 -3.573 8.193
O 0.374 -8.595 0.522
O 3.517 -5.260 3.789
O -0.367 -3.017 0.388
O 1.140 -4.230 10.107
O 1.244 -7.478 2.657
O 1.340 -4.108 3.084
O -0.863 -5.480 0.890
O -0.471 0.231 7.839
O -0.567 -3.140 7.412
O -3.466 -6.593 3.834
O -1.958 -4.080 5.494
O -1.021 -7.267 6.050
O 4.239 -0.654 6.661
O -2.744 -1.987 6.706
O 1.794 0.020 4.446
O 1.636 -1.767 9.606
O 0.399 1.348 9.974

100
Lattice="7.240 0.000 0.000 0.000 9.568 0.000 0.000 0.000 21.093" Properties=species:S:1:pos:R:3 comment="PBEsol Ba2Sb4P2O17, optimized geometry" raw_formation_energy_ev_per_atom=-2.006 total_energy_ev_per_atom=-6.940 pbc="T T T"
Ba 1.810 2.989 14.224
Ba 1.810 1.463 9.941
Ba 1.810 3.322 20.488
Ba 5.430 6.579 6.869
Ba 5.430 8.106 11.151
Ba 5.430 6.247 0.605
Ba 1.810 1.795 3.677
Ba 5.430 7.773 17.415
Sb 0.006 6.431 13.894
Sb 1.810 8.289 16.402
Sb 7.233 1.647 17.744
Sb 1.810 6.064 5.855
Sb 0.000 4.784 10.546
Sb 5.430 1.280 4.691
Sb 3.626 1.647 17.744
Sb 3.613 6.431 13.894
Sb 5.430 3.505 15.237
Sb 0.000 0.000 0.000
Sb 3.620 0.000 0.000
Sb 0.006 7.922 3.348
Sb 7.233 3.137 7.198
Sb 3.613 7.922 3.348
Sb 3.626 3.137 7.198
Sb 3.620 4.784 10.546
P 1.810 7.194 19.552
P 1.810 5.230 2.764
P 5.430 2.410 12.087
P 1.810 7.159 9.006
P 5.430 0.446 7.782
P 5.430 4.338 18.328
P 5.430 2.375 1.540
P 1.810 9.122 13.311
O 5.430 2.252 13.639
O 6.861 0.205 3.898
O 5.430 3.858 7.318
O 3.945 2.385 5.390
O 6.723 1.574 1.166
O 5.430 0.926 17.864
O 0.378 9.363 17.194
O 0.532 8.267 13.048
O 5.430 5.239 9.887
O 5.430 7.195 14.047
O 1.810 5.850 20.216
O 6.914 2.399 15.937
O 3.241 4.989 6.648
O 5.430 8.748 8.604
O 6.723 3.210 11.713
O 3.275 1.273 19.649
O 0.325 7.183 15.702
O 6.861 4.579 14.445
O 0.345 1.273 19.649
O 0.325 7.170 5.156
O 6.895 6.057 11.990
O 0.532 6.085 2.501
O 1.810 3.964 1.943
O 4.152 1.301 8.045
O 3.945 2.399 15.937
O 1.810 8.502 9.670
O 1.810 5.710 13.775
O 5.430 1.066 11.423
O 1.810 8.643 3.229
O 3.103 7.994 19.926
O 5.430 2.532 3.093
O 5.430 7.158 3.501
O 3.103 6.358 9.380
O 3.295 7.170 5.156
O 1.810 7.316 7.453
O 1.810 0.455 0.659
O 3.088 8.267 13.048
O 6.708 1.301 8.045
O 0.517 7.994 19.926
O 3.998 0.205 3.898
O 1.810 4.788 4.270
O 3.295 7.183 15.702
O 5.430 0.003 6.277
O 3.964 8.296 1.443
O 5.430 4.781 16.823
O 5.430 9.113 20.434
O 6.895 8.296 1.443
O 0.345 3.511 9.103
O 5.430 3.718 0.876
O 3.964 6.057 11.990
O 1.810 9.565 14.816
O 3.088 6.085 2.501
O 3.241 9.363 17.194
O 1.810 2.411 17.592
O 6.708 3.483 18.591
O 1.810 2.374 7.046
O 4.136 3.210 11.713
O 3.998 4.579 14.445
O 6.914 2.385 5.390
O 0.378 4.989 6.648
O 0.517 6.358 9.380
O 1.810 0.821 12.489
O 1.810 4.329 11.205
O 4.136 1.574 1.166
O 3.275 3.511 9.103
O 4.152 3.483 18.591
O 5.430 5.605 19.150
O 1.810 7.037 18.000

26
Lattice="6.781 -0.011 0.009 1.163 7.008 0.004 2.487 1.396 12.312" Properties=species:S:1:pos:R:3 comment="PBEsol Ba3P2Se4O4, optimized geometry" raw_formation_energy_ev_per_atom=-1.993 total_energy_ev_per_atom=-6.180 pbc="T T T"
P 7.720 2.963 7.580
P 2.710 5.431 4.745
P 4.800 1.653 2.366
P 5.631 6.741 9.959
Se 2.833 1.854 1.357
Se 7.597 6.540 10.968
Se 5.693 6.756 7.751
Se 4.737 1.638 4.574
Se 4.416 5.005 10.576
Se 6.014 3.389 1.749
Se 3.633 1.623 10.736
Se 6.797 6.771 1.588
Ba 4.322 3.082 7.705
Ba 6.108 5.312 4.620
Ba 1.362 1.801 4.306
Ba 9.069 6.593 8.018
Ba 7.317 3.095 10.960
Ba 3.113 5.298 1.365
O 8.507 4.009 8.409
O 1.924 4.385 3.916
O 1.952 1.981 6.919
O 8.479 6.413 5.405
O 6.823 3.563 6.476
O 3.608 4.831 5.849
O 6.815 2.164 8.573
O 3.615 6.230 3.752

13
Lattice="5.430 0.000 0.000 2.715 4.703 0.000 2.715 1.568 6.729" Properties=species:S:1:pos:R:3 comment="PBEsol BaSr2P2O8, optimized geometry" raw_formation_energy_ev_per_atom=-2.915 total_energy_ev_per_atom=-7.485 pbc="T T T"
Ba 0.000 0.000 0.000
Sr 8.145 4.703 4.196
Sr 2.715 1.568 2.533
P 5.430 3.135 1.557
P 5.430 3.135 5.172
O 5.430 3.135 0.008
O 5.430 3.135 6.722
O 5.430 1.674 2.092
O 6.695 3.866 2.092
O 4.165 3.866 2.092
O 5.430 4.596 4.638
O 4.165 2.404 4.638
O 6.696 2.404 4.638

5
Lattice="4.125 0.000 0.000 0.000 4.125 0.000 0.000 0.000 6.805" Properties=species:S:1:pos:R:3 comment="PBEsol BaTaPO2, optimized geometry" raw_formation_energy_ev_per_atom=0.677 total_energy_ev_per_atom=-5.521 pbc="T T T"
P 0.000 0.000 3.402
Ba 0.000 0.000 0.000
O 0.000 2.062 0.000
O 2.062 0.000 0.000
Ta 2.062 2.062 3.402

24
Lattice="-1.578 5.196 -0.294 -3.039 -4.035 -4.703 -5.768 -1.330 7.457" Properties=species:S:1:pos:R:3 comment="PBEsol BaThP2O8, optimized geometry" raw_formation_energy_ev_per_atom=-2.985 total_energy_ev_per_atom=-8.304 pbc="T T T"
Ba -1.520 -2.018 -2.351
Ba -5.193 -0.085 1.230
Th -2.743 3.952 1.622
Th -4.603 -0.086 5.541
P -1.746 0.973 -0.160
P -5.016 -2.912 -0.971
P -8.640 -1.143 2.620
P -5.369 2.743 3.431
O -2.453 -0.404 0.002
O -5.238 1.523 -1.306
O -7.932 0.234 2.458
O -5.148 -1.692 3.766
O -2.703 2.153 0.107
O -4.866 -1.435 -1.388
O -7.682 -2.322 2.353
O -5.520 1.265 3.848
O -3.632 -3.092 -3.825
O -2.886 0.352 2.740
O -6.753 2.923 6.285
O -7.499 -0.521 -0.280
O -6.966 -0.200 5.857
O -5.603 -2.937 0.462
O -3.419 0.031 -3.397
O -4.782 2.768 1.998

5
Lattice="-0.919 -1.718 3.766 -0.913 -3.678 -1.901 6.071 -1.840 0.643" Properties=species:S:1:pos:R:3 comment="PBEsol BaTiPO2, optimized geometry" raw_formation_energy_ev_per_atom=0.209 total_energy_ev_per_atom=-5.144 pbc="T T T"
P 3.036 -0.920 0.321
Ba 0.000 0.000 0.000
O -0.457 -1.839 -0.951
O -0.460 -0.859 1.883
Ti 2.119 -3.618 1.254

5
Lattice="4.495 0.000 0.000 0.000 5.818 0.000 0.000 0.000 5.818" Properties=species:S:1:pos:R:3 comment="PBEsol BaTlP2O, optimized geometry" raw_formation_energy_ev_per_atom=0.645 total_energy_ev_per_atom=-3.677 pbc="T T T"
P 0.000 0.000 2.909
P 0.000 2.909 0.000
Tl 2.247 2.909 2.909
Ba 0.000 0.000 0.000
O 2.247 0.000 0.000

36
Lattice="-1.460 0.958 -5.411 5.587 -6.198 -2.416 -7.259 -6.836 0.749" Properties=species:S:1:pos:R:3 comment="PBEsol BaVPO6, optimized geometry" raw_formation_energy_ev_per_atom=-2.612 total_energy_ev_per_atom=-8.064 pbc="T T T"
Ba -4.812 -7.260 -5.009
Ba -1.959 -2.513 -0.773
Ba 1.680 -4.815 -2.068
Ba -1.173 -9.563 -6.305
V -6.653 -6.414 -1.397
V -1.612 -4.766 -4.230
V 3.521 -5.662 -5.680
V -1.520 -7.310 -2.847
P -0.215 -1.907 -4.122
P -3.752 -5.226 -1.949
P -2.917 -10.169 -2.955
P 0.620 -6.850 -5.128
O 0.221 -2.068 -5.567
O -3.731 -4.634 -0.551
O -3.353 -10.008 -1.510
O 0.599 -7.442 -6.526
O -2.270 -11.811 -5.402
O -0.709 -5.850 -2.611
O -0.862 -0.265 -1.676
O -2.423 -6.225 -4.466
O -5.550 -6.812 -0.261
O -2.070 -3.761 -5.433
O 2.418 -5.264 -6.816
O -1.062 -8.315 -1.645
O -3.136 -6.675 -1.965
O -1.618 -1.199 -4.025
O 0.004 -5.401 -5.113
O -1.514 -10.877 -3.052
O -0.249 -7.815 -4.238
O 3.240 -4.224 -4.392
O -2.883 -4.261 -2.840
O -6.372 -7.852 -2.686
O -2.780 -8.829 -3.734
O 2.042 -6.722 -4.510
O -0.352 -3.247 -3.343
O -5.174 -5.354 -2.567